Crystalline TaCd3Au at its relaxed geometry. Source: Alexandria, functional PBE.

POSCAR file:
```
TaCd3Au
1.0
5.446 0.000 0.000
0.000 5.446 0.000
0.000 0.000 5.446
Ta Cd Au
1 3 1
Direct
0.000 0.000 0.000
0.000 0.000 0.500
0.000 0.500 0.000
0.500 0.000 0.000
0.500 0.500 0.500
```

Output
Space group   Pm-3m
ΔE to the lowest computed polymorph   221 meV per atom
Calculated total energy   -2.27 eV per atom
V   161.5 Å³/cell
ΔH_f (0 K)   1.304 eV per atom

=====

Crystalline TaCd2Au at its relaxed geometry. Source: Alexandria, functional PBE.

POSCAR file:
```
TaCd2Au
1.0
4.177 0.000 0.000
0.000 4.177 0.000
0.000 0.000 4.398
Ta Cd Au
1 2 1
Direct
0.000 0.000 0.000
0.000 0.500 0.500
0.500 0.000 0.500
0.500 0.500 0.000
```

Output
Space group   P4/mmm
ΔE to the lowest computed polymorph   191 meV per atom
Calculated total energy   -4.01 eV per atom
V   76.7 Å³/cell
ΔH_f (0 K)   0.233 eV per atom

=====

- The highest calculated total energy belongs to which entry?
  TaCd3Au

=====

- Among the records above, which one has the highest calculated total energy?
  TaCd3Au

=====

Copy entry 1 word for word.
Crystalline TaCd3Au at its relaxed geometry. Source: Alexandria, functional PBE.

POSCAR file:
```
TaCd3Au
1.0
5.446 0.000 0.000
0.000 5.446 0.000
0.000 0.000 5.446
Ta Cd Au
1 3 1
Direct
0.000 0.000 0.000
0.000 0.000 0.500
0.000 0.500 0.000
0.500 0.000 0.000
0.500 0.500 0.500
```

Output
Space group   Pm-3m
ΔE to the lowest computed polymorph   221 meV per atom
Calculated total energy   -2.27 eV per atom
V   161.5 Å³/cell
ΔH_f (0 K)   1.304 eV per atom

=====

- The lowest V belongs to which entry?
  TaCd2Au